A plane-wave DFT calculation with PBE was carried out for crystalline Li2NdCu at its relaxed geometry.

* final energy: -2.881 eV per atom
* total magnetic moment: 0.0788 μB/atom
* calculated volume: 21.509 Å³ per atom
* formation energy from the elements: 1.2 eV per formula unit
* crystal system: trigonal
* ρ: 4.28 g/cm³

```
data_Li2NdCu
_chemical_formula_sum 'Li6 Nd3 Cu3'
_cell_length_a 3.1177
_cell_length_b 3.1177
_cell_length_c 30.6627
_cell_angle_alpha 90.00
_cell_angle_beta 90.00
_cell_angle_gamma 120.00
_symmetry_space_group_name_H-M 'R -3 m'
_symmetry_Int_Tables_number 166
_symmetry_space_group_name_Hall '-R 3 2"'
loop_
_atom_site_label
_atom_site_type_symbol
_atom_site_fract_x
_atom_site_fract_y
_atom_site_fract_z
Li1 Li 0.0000 0.0000 0.1029
Nd1 Nd 0.0000 0.0000 0.0000
Cu1 Cu 0.0000 0.0000 0.5000
```